ZrCrPO2 | the Alexandria database | PBE with a Hubbard U | optimized geometry; total DFT energy (no corrections) = -37.600 eV for the cell shown; V = 18.1 Å³ per atom; polymorph energy (0 for the lowest one) = 0.0 kJ/mol of atoms; density = 3.8 g cm⁻³
1.0
4.034 0.000 0.000
0.000 4.034 0.000
0.000 0.000 5.562
Zr Cr P O
1 1 1 2
Cartesian
0.000 0.000 0.000
2.017 2.017 2.781
0.000 0.000 2.781
0.000 2.017 0.000
2.017 0.000 0.000